[1]
Material: BaFeBi2P
Method: DFT, GGA-PBE
State: relaxed

The space group is P4/mmm (No. 123) and the conventional cell measures 5.8606, 5.8606 and 4.3050 Å, with angles of 90.00, 90.00 and 90.00 degrees. The inequivalent atoms are Ba at (0.0000, 0.0000, 0.0000), Fe at (0.5000, 0.5000, 0.0000), Bi at (0.0000, 0.5000, 0.5000) and P at (0.5000, 0.5000, 0.5000).

For the density, the calculation gives 7.21 g/cm3. The value obtained for the calculated formation energy is 0.000 eV per atom.



[2]
Material: Ba3Ga2Bi3
Method: DFT, GGA-PBE
State: relaxed

The space group is Cmcm (No. 63) and the conventional cell measures 5.0348, 12.8504 and 17.7740 Å, with angles of 90.00, 90.00 and 90.00 degrees. The inequivalent atoms are Ba at (0.0000, 0.0582, 0.1109), Ba at (0.0000, 0.3240, 0.2500), Ga at (0.0000, 0.2218, 0.6068), Bi at (0.0000, 0.3674, 0.0296) and Bi at (0.0000, 0.3954, 0.7500).

For the density, the calculation gives 6.81 g/cm3. The value obtained for the calculated formation energy is -0.598 eV per atom.



[3]
Material: BaGaBi4
Method: DFT, GGA-PBE
State: relaxed

The space group is P-1 (No. 2) and the conventional cell measures 6.6411, 7.0027 and 10.0347 Å, with angles of 103.60, 100.59 and 102.83 degrees. The inequivalent atoms are Ba at (0.2231, 0.2962, 0.0062), Ga at (0.0000, 0.5000, 0.5000), Ga at (0.5000, 0.0000, 0.5000), Bi at (0.0208, 0.8229, 0.3750), Bi at (0.2254, 0.7363, 0.8184), Bi at (0.3772, 0.8986, 0.1673) and Bi at (0.4648, 0.4092, 0.6273).

The distance to the lowest polymorph of the same formula comes out at 0.015 eV per atom. For the density, the calculation gives 8.09 g/cm3. The value obtained for the calculated formation energy is -0.175 eV per atom.



Table of magnetic moment (μB per atom), in record order: 0.413; 0.000; 0.000
Table of D(E_F) (states/eV/cell), in record order: 4.62; 14.33; 6.42